Compound: ScBeHg
Source: Alexandria via LeMat-Bulk
Functional: PBE-GGA
Structure: optimized geometry

The structure in extended XYZ format:
```
3
Lattice="-1.571 1.571 5.309 1.571 -1.571 5.309 1.571 1.571 -5.309" Properties=species:S:1:pos:R:3 pbc="T T T"
Sc 0.000 0.000 0.000
Be 0.000 0.000 7.028
Hg 0.000 0.000 3.158
```

Properties
energy of formation: 5 meV/atom
SG: I4mm

Compound: ScBe2Hg
Source: Alexandria via LeMat-Bulk
Functional: PBE-GGA
Structure: optimized geometry

The structure in extended XYZ format:
```
4
Lattice="2.983 0.000 0.000 0.000 2.983 0.000 0.000 0.000 6.803" Properties=species:S:1:pos:R:3 pbc="T T T"
Sc 0.000 0.000 0.000
Be 0.000 0.000 2.758
Be 1.491 1.491 1.805
Hg 1.491 1.491 4.536
```

Properties
energy of formation: 102 meV/atom
SG: P4mm

Asked for energy across the records above, the calculation gives -3.45 -3.42 eV per atom in order.